Record 1
The following is a DFT calculation (PBE-GGA) of an optimized crystal structure of TbTcN4.

**ΔE_f (raw)**: 0.930 kcal/mol of atoms
**Crystal system**: tetragonal

Geometry as extended XYZ:
```
12
Lattice="-2.6154 2.6154 5.9337 2.6154 -2.6154 5.9337 2.6154 2.6154 -5.9337" Properties=species:S:1:pos:R:3 pbc="T T T"
Tb 0.0000 1.3077 1.4834
Tb 2.6154 1.3077 4.4503
Tc 2.6154 1.3077 -1.4834
Tc 0.0000 1.3077 7.4172
N 1.2814 0.5837 -0.4781
N 1.8914 0.0263 2.4888
N 1.8914 2.6417 -2.4888
N 1.3340 -0.5837 5.4557
N 1.2814 3.1991 0.4781
N 0.7240 -0.0263 8.4225
N 0.7240 2.5891 3.4449
N 1.3340 2.0317 6.4118
```

=====

Record 2
The following is a DFT calculation (PBE-GGA) of an optimized crystal structure of Li2NbReC.

**VASP energy**: -21.737 eV/f.u.
**Crystal system**: tetragonal

Geometry as extended XYZ:
```
5
Lattice="5.0124 0.0000 0.0000 0.0000 5.0124 0.0000 0.0000 0.0000 4.5605" Properties=species:S:1:pos:R:3 pbc="T T T"
Li 0.0000 2.5062 0.0000
Li 2.5062 0.0000 0.0000
Nb 0.0000 0.0000 0.0000
Re 0.0000 0.0000 2.2802
C 2.5062 2.5062 2.2802
```

=====

no.,N(E_F) (states/eV/f.u.)
1,2.4
2,3.6